An optimized crystal structure of SnBOs3. Source: Alexandria, functional PBE.

a b c (Å): 4.8849 4.8849 4.8849
angles (deg): 90.00 90.00 90.00
Closest atoms and distances in Å follow each position.
Fractional positions:
1 B 0.5000 0.5000 0.5000  12 Os 3.45
2 Os 0.0000 0.5000 0.0000  2 Sn 2.44
3 Os 0.0000 0.0000 0.5000  2 Sn 2.44
4 Os 0.5000 0.0000 0.0000  2 Sn 2.44
5 Sn 0.0000 0.0000 0.0000  6 Os 2.44

Summary:
Energy: -5.269 eV/atom
Crystal system: cubic
Fermi-level density of states: 1.056 states/eV/atom
Space group: Pm-3m, No. 221